Compound: TbHoSc3
Source: Alexandria
Functional: GGA-PBE
Structure: relaxed

Cell and atoms, written as extended XYZ:
```
10
Lattice="6.3674 0.2853 -0.2043 3.4088 5.2834 0.9994 2.9017 -0.2577 8.1931" Properties=species:S:1:pos:R:3 pbc="T T T"
Tb 6.1459 4.4151 7.3379
Tb 4.9395 1.6466 5.8892
Ho 8.0628 2.5426 5.0581
Ho 9.3899 3.8044 7.9648
Sc 3.5547 0.3285 3.1083
Sc 8.8773 3.7343 2.0442
Sc 4.3512 1.5366 0.1624
Sc 1.2202 0.7076 0.9263
Sc 5.6738 2.8705 2.7856
Sc 10.1999 5.0681 4.6672
```

Values from the calculation:
final energy = -0.2063 Ha/atom
space group = No. 2
crystal system = triclinic
total magnetization = 0.00 μB/atom
Fermi-level density of states = 18.2 states/eV/cell